# PBE LiSnBi2, relaxed
# Electronic total energy, eV per atom: -3.54
# DOS(E_F), states/eV/f.u.: 1.26
# Formation energy, eV/atom: -0.1207
# Crystal system: tetragonal
data_LiSnBi2
_chemical_formula_sum 'Li1 Sn1 Bi2'
_cell_length_a 3.349
_cell_length_b 3.349
_cell_length_c 9.685
_cell_angle_alpha 90.00
_cell_angle_beta 90.00
_cell_angle_gamma 90.00
_symmetry_space_group_name_H-M 'P 1'
_symmetry_Int_Tables_number 1
loop_
_symmetry_equiv_pos_as_xyz
'x,y,z'
loop_
_atom_site_label
_atom_site_type_symbol
_atom_site_fract_x
_atom_site_fract_y
_atom_site_fract_z
_atom_site_occupancy
Sn1 Sn 0.500 0.500 0.500 1
Li1 Li 0.500 0.500 0.000 1
Bi1 Bi 0.000 0.000 0.783 1
Bi2 Bi 0.000 0.000 0.217 1